--- w ---
Entry from Alexandria via LeMat-Bulk: a crystal of Mn2TcW relaxed with PBEsol (meta-GGA SCAN).

Cell lengths 2.612, 4.798, 4.798 Å; angles 114.61, 98.96, 98.96 degrees
Atoms (fractional coordinates):
Tc (0.500, 0.000, 0.000)
Mn (0.000, 0.000, 0.500)
W (0.500, 0.500, 0.500)
Mn (0.000, 0.500, 0.000)

Properties
calculated volume = 52.4 Å³/f.u.

---

--- x ---
Entry from Alexandria via LeMat-Bulk: a crystal of Mn2TcW relaxed with PBEsol (meta-GGA SCAN).

Cell lengths 4.188, 4.188, 4.188 Å; angles 60.00, 60.00, 60.00 degrees
Atoms (fractional coordinates):
Mn (0.750, 0.750, 0.750)
Tc (0.000, 0.000, 0.000)
W (0.500, 0.500, 0.500)
Mn (0.250, 0.250, 0.250)

Properties
calculated volume = 51.9 Å³/f.u.

---

Order from most stable to least stable according to the calculation: w, x

---

--- w ---
Entry from Alexandria via LeMat-Bulk: a crystal of Mn2TcW relaxed with PBEsol (meta-GGA SCAN).

Cell lengths 2.612, 4.030, 5.092 Å; angles 90.00, 102.70, 90.00 degrees
Atoms (fractional coordinates):
Mn (0.760, 0.000, 0.754)
W (0.000, 0.500, 0.500)
Mn (0.240, 0.000, 0.246)
Tc (0.500, 0.500, 0.000)

Properties
calculated volume = 52.3 Å³/f.u.

---

--- x ---
Entry from Alexandria via LeMat-Bulk: a crystal of Mn2TcW relaxed with PBEsol (meta-GGA SCAN).

Cell lengths 3.148, 4.052, 4.052 Å; angles 90.00, 90.00, 90.00 degrees
Atoms (fractional coordinates):
W (0.500, 0.000, 0.000)
Mn (0.000, 0.000, 0.500)
Mn (0.000, 0.500, 0.000)
Tc (0.500, 0.500, 0.500)

Properties
calculated volume = 51.7 Å³/f.u.

---

--- y ---
Entry from Alexandria via LeMat-Bulk: a crystal of Mn2TcW relaxed with PBEsol (meta-GGA SCAN).

Cell lengths 3.011, 3.011, 5.737 Å; angles 90.00, 90.00, 90.00 degrees
Atoms (fractional coordinates):
W (0.500, 0.500, 0.766)
Tc (0.000, 0.000, 0.485)
Mn (0.000, 0.000, 0.006)
Mn (0.500, 0.500, 0.243)

Properties
calculated volume = 52.0 Å³/f.u.

---

Order from most stable to least stable according to the calculation: y, w, x

---

--- w ---
Entry from Alexandria via LeMat-Bulk: a crystal of MnTcW2 relaxed with PBEsol (meta-GGA SCAN).

Cell lengths 2.668, 2.668, 8.414 Å; angles 90.00, 90.00, 108.10 degrees
Atoms (fractional coordinates):
W (0.000, 0.000, 0.005)
Tc (0.500, 0.500, 0.265)
Mn (0.000, 0.000, 0.494)
W (0.500, 0.500, 0.736)

Properties
calculated volume = 56.9 Å³/f.u.

---

--- x ---
Entry from Alexandria via LeMat-Bulk: a crystal of MnTcW2 relaxed with PBEsol (meta-GGA SCAN).

Cell lengths 4.300, 4.300, 4.300 Å; angles 60.00, 60.00, 60.00 degrees
Atoms (fractional coordinates):
W (0.250, 0.250, 0.250)
Tc (0.500, 0.500, 0.500)
W (0.750, 0.750, 0.750)
Mn (0.000, 0.000, 0.000)

Properties
calculated volume = 56.2 Å³/f.u.

---

Order from most stable to least stable according to the calculation: w, x

---

--- w ---
Entry from Alexandria via LeMat-Bulk: a crystal of Y2MnTc relaxed with PBEsol (meta-GGA SCAN).

Cell lengths 4.782, 4.782, 4.782 Å; angles 60.00, 60.00, 60.00 degrees
Atoms (fractional coordinates):
Mn (0.500, 0.500, 0.500)
Y (0.000, 0.000, 0.000)
Tc (0.250, 0.250, 0.250)
Y (0.750, 0.750, 0.750)

Properties
calculated volume = 77.3 Å³/f.u.

---

--- x ---
Entry from Alexandria via LeMat-Bulk: a crystal of Y2MnTc relaxed with PBEsol (meta-GGA SCAN).

Cell lengths 3.847, 3.847, 7.666 Å; angles 75.47, 75.47, 60.00 degrees
Atoms (fractional coordinates):
Y (0.781, 0.781, 0.656)
Tc (0.215, 0.215, 0.354)
Mn (0.534, 0.534, 0.398)
Y (0.970, 0.970, 0.091)

Properties
calculated volume = 94.0 Å³/f.u.

---

Order from most stable to least stable according to the calculation: x, w